VASP calculation (GGA-PBE) on a relaxed Ho7TlZn4 crystal.

Lattice parameters (Å, degrees): 5.6488 8.6774 7.5385 66.10 68.00 71.00
Closest atoms and distances in Å follow each position.
Sites, in units of the cell vectors:
Zn 0.5157 0.3293 0.6393  4 Ho 2.83-3.04, 2 Zn 2.83-2.85
Zn 0.6884 0.6659 0.9572  1 Zn 2.83, 6 Ho 2.85-3.14
Zn 0.4843 0.6707 0.3607  4 Ho 2.83-3.04, 2 Zn 2.83-2.85
Zn 0.3116 0.3341 0.0428  1 Zn 2.83, 6 Ho 2.85-3.14
Ho 0.1842 0.1250 0.5065  1 Zn 3.14, 1 Tl 3.27, 6 Ho 3.27-3.51
Ho 0.8158 0.8750 0.4935  1 Zn 3.14, 1 Tl 3.27, 6 Ho 3.27-3.51
Ho 0.0769 0.5912 0.2549  3 Zn 2.94-3.04, 1 Tl 3.25, 3 Ho 3.27-3.28
Ho 0.2785 0.6815 0.7616  4 Zn 2.83-3.12
Ho 0.5000 0.0000 0.0000  2 Tl 2.82, 4 Zn 2.85-3.04
Ho 0.7215 0.3185 0.2384  4 Zn 2.83-3.12
Ho 0.9231 0.4088 0.7451  3 Zn 2.94-3.04, 1 Tl 3.25, 3 Ho 3.27-3.28
Tl 0.0000 0.0000 0.0000  2 Ho 2.82

Output
- Fermi-level density of states (states/eV/cell) = 10.9
- total magnetic moment (μB/f.u.) = 0.000
- symmetry = No. 12
- formation enthalpy at 0 K (eV per atom) = -0.10